# PBE+U V6Sn4F19, optimized geometry
data_V6Sn4F19
_chemical_formula_sum 'V12 Sn8 F38'
_space_group_name_H-M_alt 'I 2 3'
_space_group_IT_number 197
_space_group_name_Hall 'I 2 2 3'
_cell_length_a 9.707
_cell_length_b 9.707
_cell_length_c 9.707
_cell_angle_alpha 90.00
_cell_angle_beta 90.00
_cell_angle_gamma 90.00
loop_
_atom_site_label
_atom_site_type_symbol
_atom_site_fract_x
_atom_site_fract_y
_atom_site_fract_z
V1 V 0.000 0.160 0.500
Sn1 Sn 0.154 0.154 0.154
F1 F 0.000 0.000 0.000
F2 F 0.000 0.000 0.347
F3 F 0.013 0.285 0.324
# Uncorrected energy ... -5.6718 eV/atom
# DOS at the Fermi energy ... 0.151 states/eV/atom
# Magnetic moment ... 18.705 μB per formula unit
# Theoretical density ... 4144 kg/m³